NdNbFe2O6: relaxed, PBE with a Hubbard U.

The space group is P1 (No. 1) and the conventional cell measures 5.477, 5.524 and 5.814 Å, with angles of 117.67, 90.26 and 119.71 degrees. The inequivalent atoms are Nd at (0.000, 0.000, 0.000), Nb at (0.510, 0.027, 0.533), Fe at (0.223, 0.446, 0.656), Fe at (0.725, 0.450, 0.154), O at (0.133, 0.590, 0.354), O at (0.360, 0.268, 0.844), O at (0.430, 0.232, 0.367), O at (0.580, 0.934, 0.829), O at (0.779, 0.929, 0.358) and O at (0.910, 0.489, 0.820).

The total energy is -7.88 eV/atom. Its crystal system is triclinic. Its density of states at the Fermi level is 0.00 states/eV/f.u. For the total magnetization, the calculation gives 8.00 Bohr magnetons per cell.